5
Lattice="-0.670 3.577 -4.826 4.810 -2.589 -2.586 -3.321 -3.810 -2.363" Properties=species:S:1:pos:R:3 comment="Ba2CaBiPt, relaxed, DFT PBE-GGA" energy_ev_per_atom=-3.83 spacegroup=P4/mmm total_magnetization_mub_per_atom=0.000 delta_e_f_ev_per_atom=-0.6776 pbc="T T T"
Ca -1.660 -1.905 -1.181
Bi 0.410 -1.411 -4.887
Pt 0.000 0.000 0.000
Ba 2.405 -1.295 -1.293
Ba -0.335 1.788 -2.413